Entry 1:
Compound: Li2Sc2Ru
Source: Alexandria
Functional: PBE
Structure: optimized geometry

## Properties
**E**: -3.819 eV per atom

Cell: 4.282 4.282 4.958 Å, 90.00 90.00 90.00°
Fractional coordinates of all 5 atoms:
Sc (0.000, 0.000, 0.000)
Li (0.000, 0.500, 0.000)
Li (0.500, 0.000, 0.000)
Ru (0.500, 0.500, 0.500)
Sc (0.000, 0.000, 0.500)

=====

Entry 2:
Compound: Sm10Dy4Y
Source: Alexandria
Functional: PBE
Structure: optimized geometry

## Properties
**E**: -4.088 eV per atom

Cell: 7.758 9.520 9.520 Å, 80.44 65.95 65.95°
Fractional coordinates of all 15 atoms:
Sm (0.649, 0.301, 0.899)
Y (0.000, 0.000, 0.000)
Sm (0.548, 0.101, 0.301)
Sm (0.950, 0.899, 0.699)
Sm (0.849, 0.699, 0.101)
Dy (0.200, 0.400, 0.199)
Sm (0.750, 0.500, 0.500)
Dy (0.600, 0.199, 0.600)
Dy (0.800, 0.600, 0.801)
Sm (0.250, 0.500, 0.500)
Sm (0.050, 0.101, 0.301)
Sm (0.351, 0.699, 0.101)
Sm (0.151, 0.301, 0.899)
Dy (0.400, 0.801, 0.400)
Sm (0.452, 0.899, 0.699)

=====

Entry 3:
Compound: PrNd2Co2
Source: Alexandria
Functional: PBE
Structure: optimized geometry

## Properties
**Polymorph energy (0 for the lowest one)**: 0.000 eV/atom

Cell: 4.134 4.015 7.844 Å, 104.83 90.00 90.00°
Fractional coordinates of all 5 atoms:
Nd (0.500, 0.649, 0.298)
Pr (0.000, 0.000, 0.000)
Co (0.000, 0.786, 0.571)
Co (0.000, 0.214, 0.429)
Nd (0.500, 0.351, 0.702)